# ScNiOs2Ru

Crystalline ScNiOs2Ru at its relaxed geometry (PBE, the Alexandria database).

Lattice parameters (Å, degrees): 4.4209 4.4209 4.4261 90.00 90.00 90.00
Space group P4/mmm (No. 123)
Symmetry-distinct sites (fractional):
Sc  0.0000  0.0000  0.0000 (multiplicity 1)
Ni  0.0000  0.0000  0.5000 (multiplicity 1)
Os  0.0000  0.5000  0.5000 (multiplicity 2)
Ru  0.5000  0.5000  0.0000 (multiplicity 1)

Output
**Magnetic moment**: 0.01 μB/cell
**Formation energy**: 28.7 kcal/mol of atoms